Here is a geometry-optimized BaReBr3 structure from the Alexandria database. Energies are from PBE.

Unit cell a=5.2008 b=5.2008 c=5.2008 alpha=90.00 beta=90.00 gamma=90.00
Closest atoms and distances in Å follow each position.
Fractional coordinates of all 5 atoms:
Br: 0.0000 0.5000 0.0000  2 Re 2.60
Re: 0.0000 0.0000 0.0000  6 Br 2.60
Br: 0.5000 0.0000 0.0000  2 Re 2.60
Ba: 0.5000 0.5000 0.5000  12 Br 3.68
Br: 0.0000 0.0000 0.5000  2 Re 2.60

Results
Space-group type: Pm-3m (221)
Uncorrected formation energy (eV/atom): -0.274
Magnetic moment (μB/f.u.): 1.0
Uncorrected energy (eV per cell): -20.8
ΔE to the lowest computed polymorph (meV per atom): 0

=====

Here is a geometry-optimized La2NiW structure from the Alexandria database. Energies are from PBE.

Unit cell a=5.7913 b=5.7913 c=5.7913 alpha=137.06 beta=137.06 gamma=62.35
Closest atoms and distances in Å follow each position.
Fractional coordinates of all 4 atoms:
La: 0.2500 0.7500 0.5000  4 W 3.00, 4 La 3.26, 4 Ni 3.26
La: 0.0000 0.0000 0.0000  4 Ni 3.00, 4 La 3.26, 4 W 3.26
Ni: 0.5000 0.5000 0.0000  8 La 3.00-3.26, 4 W 3.26
W: 0.7500 0.2500 0.5000  8 La 3.00-3.26, 4 Ni 3.26

Results
Space-group type: I-4m2 (119)
Calculated formation energy (meV/atom): 569
Magnetic moment (μB/f.u.): 0.0
Uncorrected energy (eV per cell): -26.3
ΔE to the lowest computed polymorph (meV per atom): 349

=====

Here is a geometry-optimized Os structure from the Alexandria database. Energies are from PBE.

Unit cell a=6.3598 b=4.1771 c=2.6741 alpha=90.00 beta=90.00 gamma=90.00
Closest atoms and distances in Å follow each position.
Fractional coordinates of all 4 atoms:
Os: 0.1872 0.0000 0.5000  5 Os 2.38-2.61
Os: 0.8128 0.0000 0.5000  5 Os 2.38-2.61
Os: 0.6872 0.5000 0.0000  5 Os 2.38-2.61
Os: 0.3128 0.5000 0.0000  5 Os 2.38-2.61

Results
Space-group type: Immm (71)
Calculated formation energy (meV/atom): 784
Magnetic moment (μB/f.u.): 0.0
Uncorrected energy (eV per cell): -41.8
ΔE to the lowest computed polymorph (meV per atom): 784